1.
A relaxed BaTc3Sb crystal, computed with GGA-PBE.

a b c (Å): 5.098 5.098 5.098
angles (deg): 90.00 90.00 90.00
Positions (direct):
1 Ba 0.000 0.000 0.000
2 Tc 0.000 0.000 0.500
3 Tc 0.000 0.500 0.000
4 Tc 0.500 0.000 0.000
5 Sb 0.500 0.500 0.500

Computed properties:
Volume: 132.5 Å³/f.u.
Energy relative to the lowest polymorph listed for this composition: 1413 meV/atom

***

2.
A relaxed SmScOsPt crystal, computed with GGA-PBE.

a b c (Å): 4.797 4.797 4.797
angles (deg): 60.00 60.00 60.00
Positions (direct):
1 Sm 0.000 0.000 0.000
2 Sc 0.500 0.500 0.500
3 Os 0.750 0.750 0.750
4 Pt 0.250 0.250 0.250

Computed properties:
Volume: 78.0 Å³/f.u.
Calculated formation energy: -0.59 eV per atom

***

3.
A relaxed OsBrCl2 crystal, computed with GGA-PBE.

a b c (Å): 3.281 3.281 10.347
angles (deg): 90.00 90.00 126.20
Positions (direct):
1 Os 0.000 0.000 0.000
2 Br 0.500 0.500 0.806
3 Cl 0.000 0.000 0.501
4 Cl 0.500 0.500 0.179

Computed properties:
Volume: 89.9 Å³/f.u.
Energy relative to the lowest polymorph listed for this composition: 620 meV/atom

***

4.
A relaxed Sr2H2I crystal, computed with GGA-PBE.

a b c (Å): 7.610 7.610 7.610
angles (deg): 148.44 148.44 45.24
Positions (direct):
1 Sr 0.158 0.158 0.000
2 Sr 0.842 0.842 0.000
3 H 0.250 0.750 0.500
4 H 0.750 0.250 0.500
5 I 0.500 0.500 0.000

Computed properties:
DFT total energy: -3.11 eV per atom
Volume: 120.3 Å³/f.u.

***

> Which formula does entry 3 have?

OsBrCl2

***

> What is the formula in the second record?

SmScOsPt

***

Repeat the third record exactly.
A relaxed OsBrCl2 crystal, computed with GGA-PBE.

a b c (Å): 3.281 3.281 10.347
angles (deg): 90.00 90.00 126.20
Positions (direct):
1 Os 0.000 0.000 0.000
2 Br 0.500 0.500 0.806
3 Cl 0.000 0.000 0.501
4 Cl 0.500 0.500 0.179

Computed properties:
Volume: 89.9 Å³/f.u.
Energy relative to the lowest polymorph listed for this composition: 620 meV/atom